## MgTiZn (PBE)

Data for a relaxed MgTiZn crystal.

abc: 3.893 3.893 7.368
angles: 90.00 90.00 90.00
Fractional coordinates of all 6 atoms:
Mg: 0.250 0.250 0.153
Mg: 0.750 0.750 0.847
Ti: 0.250 0.750 0.500
Ti: 0.750 0.250 0.500
Zn: 0.250 0.250 0.762
Zn: 0.750 0.750 0.238

ΔH_f (0 K) (eV/f.u.): 0.08
Magnetic moment (μB/atom): 0.229

## MgTiZn3 (PBE)

Data for a relaxed MgTiZn3 crystal.

abc: 7.091 7.091 5.586
angles: 97.41 97.41 35.85
Fractional coordinates of all 10 atoms:
Mg: 0.107 0.107 0.424
Mg: 0.893 0.893 0.576
Ti: 0.295 0.295 0.855
Ti: 0.705 0.705 0.145
Zn: 0.099 0.099 0.924
Zn: 0.310 0.310 0.346
Zn: 0.497 0.497 0.769
Zn: 0.503 0.503 0.231
Zn: 0.690 0.690 0.654
Zn: 0.901 0.901 0.076

ΔH_f (0 K) (eV/f.u.): -0.33
Magnetic moment (μB/atom): 0.000

## MgTiZn4 (PBE)

Data for a relaxed MgTiZn4 crystal.

abc: 5.128 5.128 5.128
angles: 60.00 60.00 60.00
Fractional coordinates of all 6 atoms:
Mg: 0.000 0.000 0.000
Ti: 0.750 0.750 0.750
Zn: 0.376 0.376 0.376
Zn: 0.376 0.376 0.872
Zn: 0.376 0.872 0.376
Zn: 0.872 0.376 0.376

ΔH_f (0 K) (eV/f.u.): -0.28
Magnetic moment (μB/atom): 0.062

## MgTiZn (PBE)

Data for a relaxed MgTiZn crystal.

abc: 3.206 3.206 10.401
angles: 90.00 90.00 90.00
Fractional coordinates of all 6 atoms:
Mg: 0.250 0.250 0.108
Mg: 0.750 0.750 0.892
Ti: 0.250 0.250 0.420
Ti: 0.750 0.750 0.580
Zn: 0.250 0.250 0.726
Zn: 0.750 0.750 0.274

ΔH_f (0 K) (eV/f.u.): -0.29
Magnetic moment (μB/atom): 0.000

## Mg2TiZn (PBE)

Data for a relaxed Mg2TiZn crystal.

abc: 6.065 6.065 6.065
angles: 102.36 102.36 124.89
Fractional coordinates of all 8 atoms:
Mg: 0.092 0.625 0.967
Mg: 0.375 0.342 0.467
Mg: 0.658 0.125 0.033
Mg: 0.875 0.908 0.533
Ti: 0.250 0.750 0.500
Ti: 0.500 0.500 0.000
Zn: 0.000 0.000 0.000
Zn: 0.750 0.250 0.500

ΔH_f (0 K) (eV/f.u.): 1.48
Magnetic moment (μB/atom): 0.461

## MgTi3Zn (PBE)

Data for a relaxed MgTi3Zn crystal.

abc: 4.741 4.741 4.741
angles: 90.00 90.00 90.00
Fractional coordinates of all 5 atoms:
Mg: 0.000 0.000 0.000
Ti: 0.000 0.500 0.500
Ti: 0.500 0.000 0.500
Ti: 0.500 0.500 0.000
Zn: 0.500 0.500 0.500

ΔH_f (0 K) (eV/f.u.): 3.46
Magnetic moment (μB/atom): 0.000

## Mg3Zr12Ti (PBE)

Data for a relaxed Mg3Zr12Ti crystal.

abc: 4.475 4.475 17.833
angles: 90.00 90.00 90.00
Fractional coordinates of all 16 atoms:
Mg: 0.000 0.000 0.000
Mg: 0.000 0.000 0.251
Mg: 0.000 0.000 0.749
Zr: 0.000 0.500 0.126
Zr: 0.000 0.500 0.379
Zr: 0.000 0.500 0.621
Zr: 0.000 0.500 0.874
Zr: 0.500 0.000 0.126
Zr: 0.500 0.000 0.379
Zr: 0.500 0.000 0.621
Zr: 0.500 0.000 0.874
Zr: 0.500 0.500 0.000
Zr: 0.500 0.500 0.249
Zr: 0.500 0.500 0.500
Zr: 0.500 0.500 0.751
Ti: 0.000 0.000 0.500

ΔH_f (0 K) (eV/f.u.): 0.39
Magnetic moment (μB/atom): 0.000

## MgZr3Ti (PBE)

Data for a relaxed MgZr3Ti crystal.

abc: 10.568 10.568 10.568
angles: 29.11 29.11 29.11
Fractional coordinates of all 10 atoms:
Mg: 0.167 0.167 0.167
Mg: 0.833 0.833 0.833
Zr: 0.065 0.408 0.757
Zr: 0.243 0.935 0.592
Zr: 0.408 0.757 0.065
Zr: 0.592 0.243 0.935
Zr: 0.757 0.065 0.408
Zr: 0.935 0.592 0.243
Ti: 0.335 0.335 0.335
Ti: 0.665 0.665 0.665

ΔH_f (0 K) (eV/f.u.): 2.24
Magnetic moment (μB/atom): 0.000

## MgZr3Ti2 (PBE)

Data for a relaxed MgZr3Ti2 crystal.

abc: 3.054 3.054 13.648
angles: 90.00 90.00 90.00
Fractional coordinates of all 6 atoms:
Mg: 0.000 0.000 0.000
Zr: 0.500 0.500 0.189
Zr: 0.500 0.500 0.500
Zr: 0.500 0.500 0.811
Ti: 0.000 0.000 0.341
Ti: 0.000 0.000 0.659

ΔH_f (0 K) (eV/f.u.): 0.14
Magnetic moment (μB/atom): 0.000

## MgZr8Ti2 (PBE)

Data for a relaxed MgZr8Ti2 crystal.

abc: 8.413 8.413 5.382
angles: 95.68 95.68 40.66
Fractional coordinates of all 11 atoms:
Mg: 0.000 0.000 0.000
Zr: 0.147 0.661 0.501
Zr: 0.203 0.203 0.123
Zr: 0.339 0.853 0.499
Zr: 0.398 0.398 0.011
Zr: 0.602 0.602 0.989
Zr: 0.661 0.147 0.501
Zr: 0.797 0.797 0.877
Zr: 0.853 0.339 0.499
Ti: 0.260 0.260 0.639
Ti: 0.740 0.740 0.361

ΔH_f (0 K) (eV/f.u.): 1.31
Magnetic moment (μB/atom): 0.000

## Mg3Zr2Ti2 (PBE)

Data for a relaxed Mg3Zr2Ti2 crystal.

abc: 16.751 16.751 2.983
angles: 90.00 90.00 169.66
Fractional coordinates of all 7 atoms:
Mg: 0.000 0.000 0.000
Mg: 0.427 0.573 0.500
Mg: 0.573 0.427 0.500
Zr: 0.149 0.851 0.000
Zr: 0.851 0.149 0.000
Ti: 0.288 0.712 0.500
Ti: 0.712 0.288 0.500

ΔH_f (0 K) (eV/f.u.): 0.57
Magnetic moment (μB/atom): 0.000

## MgZr3Ti (PBE)

Data for a relaxed MgZr3Ti crystal.

abc: 3.141 7.366 9.886
angles: 75.65 80.86 89.99
Fractional coordinates of all 10 atoms:
Mg: 0.017 0.216 0.463
Mg: 0.983 0.784 0.537
Zr: 0.187 0.378 0.127
Zr: 0.377 0.990 0.746
Zr: 0.409 0.409 0.682
Zr: 0.591 0.591 0.318
Zr: 0.623 0.010 0.254
Zr: 0.813 0.622 0.873
Ti: 0.216 0.825 0.066
Ti: 0.784 0.175 0.934

ΔH_f (0 K) (eV/f.u.): 0.15
Magnetic moment (μB/atom): 0.000